[1]
First-principles (GGA-PBE) data for a geometry-optimized LiNi2W structure, as listed in the Alexandria database.

Output
**Energy of formation from the pure elements**: 0.215 eV/atom
**E**: -6.392 eV/atom
**Crystal system**: orthorhombic
**Theoretical density**: 9671 kg/m3
**Total moment**: 0.00 μB per cell
**Density of states at the Fermi level**: 2.62 states/eV per cell

a b c (Å): 2.575 2.575 8.340
angles (deg): 90.00 90.00 106.95
Positions (direct):
Li1 0.000 0.000 0.000
Ni1 0.000 0.000 0.539
Ni2 0.500 0.500 0.762
W1 0.500 0.500 0.296

***

[2]
First-principles (GGA-PBE) data for a geometry-optimized ErPuCu2Si2 structure, as listed in the Alexandria database.

Output
**E**: -6.820 eV/atom
**Crystal system**: trigonal
**Theoretical density**: 8854 kg/m3
**Total moment**: 5.16 μB per cell
**Density of states at the Fermi level**: 11.67 states/eV per cell

a b c (Å): 4.130 4.130 7.547
angles (deg): 90.00 90.00 120.00
Positions (direct):
Er1 0.000 0.000 0.000
Pu1 0.000 0.000 0.500
Cu1 0.333 0.667 0.238
Cu2 0.667 0.333 0.762
Si1 0.333 0.667 0.751
Si2 0.667 0.333 0.249